1.
Here is an optimized crystal structure of AuS2N from Alexandria via LeMat-Bulk. Energies are from PBE.

Unit cell a=5.102 b=5.102 c=6.464 alpha=66.75 beta=66.75 gamma=90.00
Fractional positions:
Au 0.750 0.250 0.500
Au 0.000 0.000 0.000
S 0.375 0.457 0.750
S 0.207 0.625 0.250
S 0.875 0.793 0.750
S 0.543 0.125 0.250
N 0.250 0.750 0.500
N 0.500 0.500 0.000

Summary:
The total energy is -3.944 eV/atom. As for the formation energy without anion corrections: 98 kJ per mole of atoms. The value obtained for the density of states at the Fermi level is 3.380 states/eV/cell.

2.
Here is an optimized crystal structure of Au2SN from Alexandria via LeMat-Bulk. Energies are from PBE.

Unit cell a=2.707 b=7.021 c=3.806 alpha=90.00 beta=89.98 gamma=90.00
Fractional positions:
S 0.500 0.428 0.000
Au 0.000 0.950 0.000
Au 0.500 0.707 0.500
N 0.000 0.283 0.000

Summary:
The total energy is -4.162 eV/atom. As for the formation energy without anion corrections: 57 kJ per mole of atoms. The value obtained for the density of states at the Fermi level is 1.012 states/eV/cell.

3.
Here is an optimized crystal structure of Au2SN from Alexandria via LeMat-Bulk. Energies are from PBE.

Unit cell a=4.857 b=2.673 c=7.121 alpha=90.00 beta=90.36 gamma=90.00
Fractional positions:
N 0.860 0.000 0.830
S 0.057 0.500 0.833
Au 0.150 0.500 0.329
Au 0.650 0.000 0.330

Summary:
The total energy is -4.228 eV/atom. As for the formation energy without anion corrections: 51 kJ per mole of atoms. The value obtained for the density of states at the Fermi level is 1.542 states/eV/cell.

4.
Here is an optimized crystal structure of Au2SN from Alexandria via LeMat-Bulk. Energies are from PBE.

Unit cell a=4.287 b=2.856 c=12.014 alpha=90.00 beta=104.50 gamma=90.00
Fractional positions:
Au 0.729 0.500 0.083
Au 0.729 0.000 0.583
Au 0.119 0.500 0.461
Au 0.119 0.000 0.961
N 0.594 0.000 0.755
N 0.594 0.500 0.255
S 0.252 0.500 0.266
S 0.252 0.000 0.766

Summary:
The total energy is -4.135 eV/atom. As for the formation energy without anion corrections: 60 kJ per mole of atoms. The value obtained for the density of states at the Fermi level is 2.783 states/eV/cell.

5.
Here is an optimized crystal structure of SbAuS2N from Alexandria via LeMat-Bulk. Energies are from PBE.

Unit cell a=5.096 b=5.096 c=3.912 alpha=90.00 beta=90.00 gamma=90.00
Fractional positions:
S 0.000 0.500 0.000
S 0.500 0.000 0.000
Au 0.500 0.500 0.500
Sb 0.000 0.000 0.000
N 0.000 0.000 0.500

Summary:
The total energy is -3.714 eV/atom. As for the formation energy without anion corrections: 104 kJ per mole of atoms. The value obtained for the density of states at the Fermi level is 5.513 states/eV/cell.

6.
Here is an optimized crystal structure of SbAuS2N from Alexandria via LeMat-Bulk. Energies are from PBE.

Unit cell a=5.054 b=5.054 c=3.815 alpha=90.00 beta=90.00 gamma=90.00
Fractional positions:
Sb 0.500 0.500 0.500
N 0.000 0.000 0.500
S 0.500 0.000 0.000
S 0.000 0.500 0.000
Au 0.000 0.000 0.000

Summary:
The total energy is -3.812 eV/atom. As for the formation energy without anion corrections: 95 kJ per mole of atoms. The value obtained for the density of states at the Fermi level is 2.170 states/eV/cell.